Record 1
Below is In2RhSe after structural relaxation, with properties calculated at the PBE level.

Cell: 4.3552 3.8261 5.3774 Å, 69.14 90.00 90.00°
Closest atoms and distances in Å follow each position.
Sites, in units of the cell vectors:
1 In 0.0000 0.9733 0.9275  3 Rh 2.74-2.98, 4 Se 3.01
2 In 0.5000 0.2722 0.3314  3 Se 2.83-2.91, 4 Rh 2.98-2.99
3 Rh 0.0000 0.7013 0.4737  2 Se 2.63, 1 In 2.74
4 Se 0.5000 0.5532 0.7674  2 Rh 2.63, 3 In 2.83-2.91

Results
formation energy from raw total energies = -19.1 kJ per mole of atoms
uncorrected energy = -17.1 eV for the cell shown

***

Record 2
Below is In2RhSe after structural relaxation, with properties calculated at the PBE level.

Cell: 6.9967 4.8848 3.4139 Å, 90.05 60.71 123.04°
Closest atoms and distances in Å follow each position.
Sites, in units of the cell vectors:
1 In 0.0000 0.0000 0.0000  4 Rh 2.98, 4 Se 2.98, 2 In 3.05
2 In 0.5000 0.0000 0.5000  4 Se 2.98, 4 Rh 2.98, 2 In 3.05
3 Rh 0.0000 0.5000 0.5000  8 In 2.98, 2 Se 3.05
4 Se 0.5000 0.5000 0.0000  8 In 2.98, 2 Rh 3.05

Results
formation energy from raw total energies = -4.4 kJ per mole of atoms
uncorrected energy = -16.5 eV for the cell shown

***

Record 3
Below is InSnRhSe2 after structural relaxation, with properties calculated at the PBE level.

Cell: 5.2913 4.9693 5.2913 Å, 90.00 90.00 90.00°
Closest atoms and distances in Å follow each position.
Sites, in units of the cell vectors:
1 Rh 0.0000 0.5000 0.0000  2 In 2.48
2 Sn 0.5000 0.5000 0.5000  8 Se 3.63, 4 Rh 3.74
3 Se 0.0000 0.0000 0.5000  2 In 2.65
4 Se 0.5000 0.0000 0.0000  2 In 2.65
5 In 0.0000 0.0000 0.0000  2 Rh 2.48, 4 Se 2.65

Results
formation energy from raw total energies = 55.7 kJ per mole of atoms
uncorrected energy = -18.2 eV for the cell shown

***

Computed values of magnetic moment (unit: μB/cell) for the preceding records, in sequence: 0.0, 0.0, 0.1.